No. 1
## MnPdO2 (PBE+U)

Data for a relaxed structure of MnPdO2.

Properties
Total magnetization ... 3.6 μB/f.u.
Density of states at the Fermi level ... 0.340 states/eV/atom
E ... -25.7 eV per formula unit

Lattice parameters (Å, degrees): 7.3086 2.8562 9.8430 90.00 90.00 90.00
With the nearest neighbours (Å) after each atom.
Atoms (fractional coordinates):
1 Mn 0.0506 0.2500 0.1374  4 O 1.94-1.97
2 Mn 0.4494 0.7500 0.6374  4 O 1.94-1.97
3 Mn 0.5506 0.2500 0.3626  4 O 1.94-1.97
4 Mn 0.9494 0.7500 0.8626  4 O 1.94-1.97
5 Pd 0.1213 0.7500 0.4105  1 O 2.04
6 Pd 0.3787 0.2500 0.9105  1 O 2.04
7 Pd 0.6213 0.7500 0.0895  1 O 2.04
8 Pd 0.8787 0.2500 0.5895  1 O 2.04
9 O 0.0512 0.2500 0.7520  2 Mn 1.94, 1 Pd 2.04
10 O 0.1594 0.7500 0.0263  2 Mn 1.97
11 O 0.3406 0.2500 0.5263  2 Mn 1.97
12 O 0.4488 0.7500 0.2520  2 Mn 1.94, 1 Pd 2.04
13 O 0.5512 0.2500 0.7480  2 Mn 1.94, 1 Pd 2.04
14 O 0.6594 0.7500 0.4737  2 Mn 1.97
15 O 0.8406 0.2500 0.9737  2 Mn 1.97
16 O 0.9488 0.7500 0.2480  2 Mn 1.94, 1 Pd 2.04

No. 2
## MnPdO2 (PBE+U)

Data for a relaxed structure of MnPdO2.

Properties
Total magnetization ... 3.0 μB/f.u.
Density of states at the Fermi level ... 0.358 states/eV/atom
E ... -25.4 eV per formula unit

Lattice parameters (Å, degrees): 5.6903 5.6903 5.6903 127.48 127.48 77.47
With the nearest neighbours (Å) after each atom.
Atoms (fractional coordinates):
1 Mn 0.0000 0.0000 0.0000  4 O 2.01
2 Mn 0.7500 0.2500 0.5000  4 O 2.01
3 Pd 0.2500 0.7500 0.5000  4 O 2.20
4 Pd 0.5000 0.5000 0.0000  4 O 2.20
5 O 0.0930 0.6250 0.9680  2 Mn 2.01, 2 Pd 2.20
6 O 0.3750 0.3430 0.4680  2 Mn 2.01, 2 Pd 2.20
7 O 0.6570 0.1250 0.0320  2 Mn 2.01, 2 Pd 2.20
8 O 0.8750 0.9070 0.5320  2 Mn 2.01, 2 Pd 2.20

No. 3
## MnPdO2 (PBE+U)

Data for a relaxed structure of MnPdO2.

Properties
Total magnetization ... 3.0 μB/f.u.
Density of states at the Fermi level ... 0.728 states/eV/atom
E ... -24.4 eV per formula unit

Lattice parameters (Å, degrees): 4.9641 4.9641 4.9641 109.03 109.03 110.36
With the nearest neighbours (Å) after each atom.
Atoms (fractional coordinates):
1 Mn 0.2500 0.7500 0.5000  4 O 2.05
2 Mn 0.7500 0.2500 0.5000  4 O 2.05
3 Pd 0.2500 0.2500 0.0000  8 O 2.54, 2 Pd 2.83
4 Pd 0.7500 0.7500 0.0000  8 O 2.54, 2 Pd 2.83
5 O 0.1822 0.6822 0.8643  2 Mn 2.05
6 O 0.3178 0.1822 0.5000  2 Mn 2.05
7 O 0.6822 0.8178 0.5000  2 Mn 2.05
8 O 0.8178 0.3178 0.1357  2 Mn 2.05

No. 4
## MnPdO2 (PBE+U)

Data for a relaxed structure of MnPdO2.

Properties
Total magnetization ... 3.0 μB/f.u.
Density of states at the Fermi level ... 0.423 states/eV/atom
E ... -26.0 eV per formula unit

Lattice parameters (Å, degrees): 3.0042 3.0042 6.1461 90.00 90.00 120.00
With the nearest neighbours (Å) after each atom.
Atoms (fractional coordinates):
1 Mn 0.0000 0.0000 0.0000  6 O 2.02-2.04
2 Pd 0.3333 0.6667 0.4942  1 O 2.07
3 O 0.3333 0.6667 0.8309  3 Mn 2.02, 1 Pd 2.07
4 O 0.6667 0.3333 0.1733  3 Mn 2.04

No. 5
## Mn4PdO8 (PBE+U)

Data for a relaxed structure of Mn4PdO8.

Properties
Total magnetization ... 14.0 μB/f.u.
Density of states at the Fermi level ... 0.007 states/eV/atom
E ... -90.8 eV per formula unit

Lattice parameters (Å, degrees): 5.9165 5.9687 6.1685 89.78 61.56 62.39
With the nearest neighbours (Å) after each atom.
Atoms (fractional coordinates):
1 Mn 0.0012 0.2514 0.4971  6 O 1.95-2.00
2 Mn 0.4702 0.7644 0.5456  4 O 1.94-2.01
3 Mn 0.5298 0.2356 0.4544  4 O 1.94-2.01
4 Mn 0.9988 0.7486 0.5029  6 O 1.95-2.00
5 Pd 0.0000 0.5000 0.0000  4 O 2.04
6 O 0.1714 0.6602 0.7181  2 Mn 1.97, 1 Pd 2.04
7 O 0.1903 0.1894 0.7040  3 Mn 2.00-2.17, 1 Pd 2.04
8 O 0.2789 0.8705 0.3425  3 Mn 1.95-1.98
9 O 0.2808 0.3725 0.3101  3 Mn 1.94-1.97
10 O 0.7192 0.6275 0.6899  3 Mn 1.94-1.97
11 O 0.7211 0.1295 0.6575  3 Mn 1.95-1.98
12 O 0.8097 0.8106 0.2960  3 Mn 2.00-2.17, 1 Pd 2.04
13 O 0.8286 0.3398 0.2819  2 Mn 1.97, 1 Pd 2.04

No. 6
## MnPdO2 (PBE+U)

Data for a relaxed structure of MnPdO2.

Properties
Total magnetization ... 5.0 μB/f.u.
Density of states at the Fermi level ... 0.360 states/eV/atom
E ... -25.9 eV per formula unit

Lattice parameters (Å, degrees): 3.2004 3.2004 4.5185 90.00 90.00 90.00
With the nearest neighbours (Å) after each atom.
Atoms (fractional coordinates):
1 Mn 0.0000 0.0000 0.0000  6 O 2.26
2 Pd 0.5000 0.5000 0.5000  6 O 2.26
3 O 0.0000 0.0000 0.5000  2 Mn 2.26, 4 Pd 2.26
4 O 0.5000 0.5000 0.0000  2 Pd 2.26, 4 Mn 2.26

No. 7
## MnPdO2 (PBE+U)

Data for a relaxed structure of MnPdO2.

Properties
Total magnetization ... 3.0 μB/f.u.
Density of states at the Fermi level ... 0.384 states/eV/atom
E ... -25.4 eV per formula unit

Lattice parameters (Å, degrees): 6.0702 6.0702 6.0702 32.22 32.22 32.22
With the nearest neighbours (Å) after each atom.
Atoms (fractional coordinates):
1 Mn 0.0000 0.0000 0.0000  4 O 1.96-2.02
2 Pd 0.4929 0.4929 0.4929  4 O 2.20-2.21
3 O 0.3656 0.3656 0.3656  3 Mn 2.02, 1 Pd 2.20
4 O 0.8865 0.8865 0.8865  1 Mn 1.96

No. 8
## MnPdO2 (PBE+U)

Data for a relaxed structure of MnPdO2.

Properties
Total magnetization ... 3.0 μB/f.u.
Density of states at the Fermi level ... 0.310 states/eV/atom
E ... -24.2 eV per formula unit

Lattice parameters (Å, degrees): 3.9636 3.9636 3.9636 60.00 60.00 60.00
With the nearest neighbours (Å) after each atom.
Atoms (fractional coordinates):
1 Mn 0.0000 0.0000 0.0000  8 O 2.43
2 Pd 0.5000 0.5000 0.5000  8 O 2.43
3 O 0.2500 0.2500 0.2500  4 Mn 2.43, 4 Pd 2.43
4 O 0.7500 0.7500 0.7500  4 Mn 2.43, 4 Pd 2.43